CsRb2V2O7 after structural relaxation, computed with GGA+U.

The structure in CIF format:
```
data_CsRb2V2O7
_cell_length_a 6.9158
_cell_length_b 6.9158
_cell_length_c 24.1775
_cell_angle_alpha 90.00
_cell_angle_beta 90.00
_cell_angle_gamma 120.00
_symmetry_space_group_name_H-M 'R 3 2'
_symmetry_Int_Tables_number 155
_symmetry_space_group_name_Hall 'R 3 2"'
loop_
_atom_site_label
_atom_site_type_symbol
_atom_site_fract_x
_atom_site_fract_y
_atom_site_fract_z
Cs1 Cs 0.0000 0.0000 0.0000
Rb1 Rb 0.0000 0.0000 0.2767
V1 V 0.0000 0.0000 0.4250
O1 O 0.0000 0.0000 0.5000
O2 O 0.0208 0.2409 0.6013
```

* final energy: -6.161 eV/atom